a | DFT (PBE) results for a geometry-optimized Rb2OsI structure.

```
Rb2OsI
1.0
12.970 0.000 0.000
0.000 12.970 0.000
6.485 6.485 2.509
Os I Rb
2 2 4
Direct
0.000 0.000 0.000 Os
0.750 0.250 0.500 Os
0.500 0.500 0.000 I
0.250 0.750 0.500 I
0.930 0.625 0.250 Rb
0.875 0.070 0.750 Rb
0.375 0.180 0.750 Rb
0.820 0.125 0.250 Rb
```

Summary:
* DOS at the Fermi energy: 8.66 states/eV per cell
* density: 3.8 g cm⁻³
* crystal system: tetragonal
* size of the total moment: 0.0 μB/f.u.

=====

b | DFT (PBE) results for a geometry-optimized Rb2OsI structure.

```
Rb2OsI
1.0
-4.666 -2.304 3.397
-5.104 3.406 0.983
-5.355 -1.567 -2.735
Rb Os I
2 1 1
Direct
0.750 0.750 0.750 Rb
0.250 0.250 0.250 Rb
0.500 0.500 0.500 Os
0.000 0.000 0.000 I
```

Summary:
* DOS at the Fermi energy: 25.28 states/eV per cell
* density: 4.8 g cm⁻³
* crystal system: cubic
* size of the total moment: 3.0 μB/f.u.

=====

What should be chosen as the least stable of them? Choose b.